{
  "formula": "Na2CrAuO4",
  "functional": "GGA+U",
  "state": "relaxed",
  "crystal_system": "tetragonal",
  "e_tot_ev_per_fu": -41.536,
  "space_group": "I-42m, No. 121",
  "lattice_angstrom": [[-3.059, 3.059, 3.005], [3.059, -3.059, 3.005], [3.059, 3.059, -3.005]],
  "species": ["Na", "Na", "Cr", "Au", "O", "O", "O", "O"],
  "fractional_positions": [[0.000, 0.500, 0.500], [0.500, 0.000, 0.500], [0.000, 0.000, 0.000], [0.500, 0.500, 0.000], [0.003, 0.671, 0.000], [0.329, 0.329, 0.332], [0.671, 0.003, 0.000], [0.997, 0.997, 0.668]]
}